## AuI3Br2 (PBE-GGA)

Data for a relaxed structure of AuI3Br2.

Unit cell a=5.8072 b=16.5684 c=11.5154 alpha=31.56 beta=88.04 gamma=94.51
Last column: nearest neighbours and their distance in Å.
Positions (direct):
Au (0.2224, 0.9355, 0.1982)  4 I 2.66-2.92
Au (0.7776, 0.0645, 0.8018)  4 I 2.66-2.92
I (0.2724, 0.0505, 0.8407)  3 Au 2.67-2.92
I (0.7276, 0.9495, 0.1593)  3 Au 2.67-2.92
I (0.9686, 0.5149, 0.3527)  1 Br 2.59
I (0.1720, 0.8255, 0.5504)  1 Au 2.66, 2 Br 2.92
I (0.8280, 0.1745, 0.4496)  1 Au 2.66, 2 Br 2.92
I (0.0314, 0.4851, 0.6473)  1 Br 2.59
Br (0.3343, 0.1880, 0.4071)  3 I 2.92-3.26, 1 Br 3.18
Br (0.7873, 0.6499, 0.0229)  1 I 2.59
Br (0.2127, 0.3501, 0.9771)  1 I 2.59
Br (0.6657, 0.8120, 0.5929)  3 I 2.92-3.26, 1 Br 3.18

Output
Symmetry: P-1
Formation energy without anion corrections in kJ/mol of formula units: -14

---

## BeSb2Se (PBE-GGA)

Data for a relaxed structure of BeSb2Se.

Unit cell a=4.9825 b=4.9825 c=4.9825 alpha=60.00 beta=60.00 gamma=60.00
Last column: nearest neighbours and their distance in Å.
Positions (direct):
Sb (0.0000, 0.0000, 0.0000)  4 Sb 3.05, 4 Se 3.05
Sb (0.7500, 0.7500, 0.7500)  4 Be 3.05, 4 Sb 3.05
Se (0.2500, 0.2500, 0.2500)  4 Sb 3.05, 4 Be 3.05
Be (0.5000, 0.5000, 0.5000)  4 Se 3.05, 4 Sb 3.05

Output
Symmetry: F-43m
DOS(E_F) in states/eV/atom: 0.093
Formation energy without anion corrections in kJ/mol of formula units: 212

---

## TiVIr2 (PBE-GGA)

Data for a relaxed structure of TiVIr2.

Unit cell a=5.5963 b=5.5963 c=6.7781 alpha=65.62 beta=65.62 gamma=90.00
Last column: nearest neighbours and their distance in Å.
Positions (direct):
V (0.0000, 0.0000, 0.0000)  4 Ir 2.36
V (0.7500, 0.2500, 0.5000)  4 Ir 2.36
Ir (0.6401, 0.1250, 0.2500)  2 V 2.36, 2 Ti 2.46
Ir (0.1099, 0.6250, 0.2500)  2 V 2.36, 2 Ti 2.46
Ir (0.3750, 0.3599, 0.7500)  2 V 2.36, 2 Ti 2.46
Ir (0.8750, 0.8901, 0.7500)  2 V 2.36, 2 Ti 2.46
Ti (0.5000, 0.5000, 0.0000)  4 Ir 2.46
Ti (0.2500, 0.7500, 0.5000)  4 Ir 2.46

Output
Symmetry: I-42d
Energy relative to the elements in eV per atom: 0.48
DOS(E_F) in states/eV/atom: 1.632

---

## TmRuRhPb (PBE-GGA)

Data for a relaxed structure of TmRuRhPb.

Unit cell a=4.7049 b=4.7049 c=4.7049 alpha=60.00 beta=60.00 gamma=60.00
Last column: nearest neighbours and their distance in Å.
Positions (direct):
Pb (0.5000, 0.5000, 0.5000)  4 Ru 2.88, 4 Rh 2.88
Ru (0.7500, 0.7500, 0.7500)  4 Pb 2.88, 4 Tm 2.88
Tm (0.0000, 0.0000, 0.0000)  4 Rh 2.88, 4 Ru 2.88
Rh (0.2500, 0.2500, 0.2500)  4 Pb 2.88, 4 Tm 2.88

Output
Symmetry: F-43m
Energy relative to the elements in eV per atom: -0.41
DOS(E_F) in states/eV/atom: 0.104

---

no.,uncorrected energy (eV/cell)
1,-22.84
2,-13.26
3,-65.64
4,-26.43